Here is a relaxed Mn2TcSbN crystal from the Alexandria database. Energies are from PBE-GGA.

Lattice parameters (Å, degrees): 3.980 3.980 4.144 90.00 90.00 90.00
Site moments in Bohr magnetons follow the coordinates.
Atoms (fractional coordinates):
Mn 0.500 0.000 0.000  2.43
Mn 0.000 0.500 0.000  2.43
N 0.000 0.000 0.000  -0.08
Sb 0.500 0.500 0.500  -0.07
Tc 0.000 0.000 0.500  -0.36

## Properties
Space group: P4/mmm
Density of states at the Fermi level, states/eV/atom: 0.834
Raw formation energy, eV per atom: -0.01
Total energy, eV per atom: -8.241